TaTcAu2 | PBE-GGA | optimized geometry

abc: 2.9005 4.6154 5.0445
angles: 90.00 90.00 90.00
Last column: nearest neighbours and their distance in Å.
Atoms (fractional coordinates):
Ta1 0.0000 0.0000 0.0000  2 Tc 2.75, 8 Au 2.86-2.96, 2 Ta 2.90
Tc1 0.0000 0.5000 0.7045  2 Ta 2.75, 8 Au 2.88-2.94, 2 Tc 2.90
Au1 0.5000 0.0000 0.5121  4 Au 2.80-2.90, 4 Ta 2.86-2.96, 4 Tc 2.89
Au2 0.5000 0.5000 0.1983  4 Au 2.80-2.90, 4 Tc 2.88-2.94, 4 Ta 2.90

Summary:
ΔE to the lowest computed polymorph ... 143 meV per atom
E_form ... 0.106 eV per atom
Spin magnetization ... 0.00 μB per cell
ρ ... 16.55 g/cm³
E ... -0.2604 Ha/atom

Ce2Cu4Se5 | PBE-GGA | optimized geometry

abc: 17.0330 17.0330 17.0330
angles: 13.66 13.66 13.66
Last column: nearest neighbours and their distance in Å.
Atoms (fractional coordinates):
Ce1 0.1312 0.1312 0.1312  6 Se 2.95-2.97
Ce2 0.8688 0.8688 0.8688  6 Se 2.95-2.97
Cu1 0.3141 0.3141 0.3141  4 Se 2.43-2.60
Cu2 0.4133 0.4133 0.4133  4 Se 2.42-2.46
Cu3 0.5867 0.5867 0.5867  4 Se 2.42-2.46
Cu4 0.6859 0.6859 0.6859  4 Se 2.43-2.60
Se1 0.2382 0.2382 0.2382  3 Cu 2.46
Se2 0.3655 0.3655 0.3655  5 Cu 2.42-2.60
Se3 0.5000 0.5000 0.5000  6 Ce 2.95
Se4 0.6345 0.6345 0.6345  5 Cu 2.42-2.60
Se5 0.7618 0.7618 0.7618  3 Cu 2.46

Summary:
Spin magnetization ... 1.87 μB per cell
ρ ... 6.44 g/cm³
E ... -0.1813 Ha/atom
E_form (uncorrected) ... -0.78 eV per atom

Cd2InPb | PBE-GGA | optimized geometry

abc: 3.3659 3.3659 9.2551
angles: 90.00 90.00 90.00
Last column: nearest neighbours and their distance in Å.
Atoms (fractional coordinates):
Cd1 0.0000 0.0000 0.0000  8 Cd 3.13-3.37, 4 Pb 3.38
Cd2 0.5000 0.5000 0.2193  8 Cd 3.13-3.37, 4 In 3.26
In1 0.0000 0.0000 0.4593  4 Cd 3.26, 4 In 3.37, 4 Pb 3.52
Pb1 0.5000 0.5000 0.7400  4 Pb 3.37, 4 Cd 3.38, 4 In 3.52

Summary:
ΔE to the lowest computed polymorph ... 10 meV per atom
E_form ... 0.034 eV per atom
Spin magnetization ... 0.00 μB per cell
ρ ... 8.66 g/cm³
E ... -0.0748 Ha/atom